No. 1
Computed, not measured: crystalline CaTeC at its relaxed geometry at the PBE level of DFT.

a = 4.2126 Å, b = 4.7253 Å, c = 8.0421 Å
α = 87.44°, β = 85.90°, γ = 89.06°
Last column: nearest neighbours and their distance in Å.
Space group P-1 (No. 2)
Symmetry-distinct sites (fractional):
Ca (0.1115, 0.1196, 0.2665) x2  3 C 2.50-2.74
Te (0.4083, 0.3771, 0.8531) x2  1 Te 2.84, 1 C 3.11
C (0.3754, 0.9984, 0.5488) x2  1 C 1.26

Output
* offset from the most stable computed form: 0.19 eV per formula unit
* total DFT energy (no corrections): -31.08 eV for the cell shown
* energy relative to the elements, uncorrected: -0.391 eV per atom
* crystal system: triclinic


No. 2
Computed, not measured: crystalline Pu3Al8Au3 at its relaxed geometry at the PBE level of DFT.

a = 15.9235 Å, b = 4.5815 Å, c = 9.0487 Å
α = 90.00°, β = 124.48°, γ = 90.00°
Last column: nearest neighbours and their distance in Å.
Space group C2/m (No. 12)
Symmetry-distinct sites (fractional):
Pu (0.0000, 0.0000, 0.0000) x2  8 Al 3.16-3.28, 4 Au 3.29
Pu (0.2154, 0.5000, 0.6962) x4  11 Al 3.06-3.29, 2 Au 3.27
Al (0.0026, 0.5000, 0.6687) x4  3 Au 2.56-2.74, 1 Al 2.71
Al (0.1377, 0.0000, 0.4239) x4  1 Au 2.64, 3 Al 2.67-2.85
Al (0.1519, 0.0000, 0.8628) x4  4 Au 2.63-2.76
Al (0.1523, 0.5000, 0.2885) x4  1 Au 2.56, 4 Al 2.67-2.85
Au (0.0000, 0.0000, 0.5000) x2  8 Al 2.64-2.76
Au (0.1488, 0.5000, 0.0018) x4  5 Al 2.56-2.68

Output
* total DFT energy (no corrections): -176.64 eV for the cell shown
* E_form: -397 meV per atom
* crystal system: monoclinic


No. 3
Computed, not measured: crystalline Sr2SiSnI at its relaxed geometry at the PBE level of DFT.

a = 6.1347 Å, b = 6.1347 Å, c = 5.3697 Å
α = 90.00°, β = 90.00°, γ = 90.00°
Last column: nearest neighbours and their distance in Å.
Space group P4/mmm (No. 123)
Symmetry-distinct sites (fractional):
Sr (0.0000, 0.5000, 0.0000) x2  2 I 3.07
Si (0.0000, 0.0000, 0.5000) x1  2 I 2.68
Sn (0.5000, 0.5000, 0.5000) x1  8 Sr 4.08, 4 Si 4.34
I (0.0000, 0.0000, 0.0000) x1  2 Si 2.68

Output
* total DFT energy (no corrections): -13.57 eV for the cell shown
* energy relative to the elements, uncorrected: 0.155 eV per atom
* crystal system: tetragonal


No. 4
Computed, not measured: crystalline CePaGa6 at its relaxed geometry at the PBE level of DFT.

a = 6.3329 Å, b = 6.3329 Å, c = 4.5438 Å
α = 90.00°, β = 90.00°, γ = 120.00°
Last column: nearest neighbours and their distance in Å.
Space group P-6m2 (No. 187)
Symmetry-distinct sites (fractional):
Ce (0.0000, 0.0000, 0.0000) x1  12 Ga 3.05-3.17
Pa (0.6667, 0.3333, 0.5000) x1  12 Ga 3.05-3.17
Ga (0.0377, 0.5189, 0.0000) x3  6 Ga 2.79-2.81, 2 Pa 3.05
Ga (0.1855, 0.3709, 0.5000) x3  6 Ga 2.79-2.81, 2 Ce 3.05

Output
* total DFT energy (no corrections): -37.28 eV for the cell shown
* E_form: -461 meV per atom
* crystal system: hexagonal


No. 5
Computed, not measured: crystalline Zr2InHPd at its relaxed geometry at the PBE level of DFT.

a = 4.3982 Å, b = 4.3982 Å, c = 4.2729 Å
α = 90.00°, β = 90.00°, γ = 90.00°
Last column: nearest neighbours and their distance in Å.
Space group P4/mmm (No. 123)
Symmetry-distinct sites (fractional):
Zr (0.0000, 0.5000, 0.0000) x2  2 H 2.20
In (0.0000, 0.0000, 0.5000) x1  8 Zr 3.07, 4 Pd 3.11
H (0.5000, 0.5000, 0.0000) x1  2 Pd 2.14, 4 Zr 2.20
Pd (0.5000, 0.5000, 0.5000) x1  2 H 2.14

Output
* total DFT energy (no corrections): -30.61 eV for the cell shown
* crystal system: tetragonal


No. 6
Computed, not measured: crystalline NdSiB at its relaxed geometry at the PBE level of DFT.

a = 3.6313 Å, b = 4.3473 Å, c = 6.3325 Å
α = 90.00°, β = 90.00°, γ = 90.00°
Last column: nearest neighbours and their distance in Å.
Space group Pmma (No. 51)
Symmetry-distinct sites (fractional):
Nd (0.2500, 0.0000, 0.2365) x2  6 B 2.87-3.05, 4 Si 2.99
Si (0.2500, 0.5000, 0.6117) x2  1 B 2.09, 2 Si 2.30
B (0.2500, 0.5000, 0.9413) x2  2 B 1.96, 1 Si 2.09

Output
* offset from the most stable computed form: 0.42 eV per formula unit
* total DFT energy (no corrections): -36.49 eV for the cell shown
* energy relative to the elements, uncorrected: -0.459 eV per atom
* crystal system: orthorhombic


No. 7
Computed, not measured: crystalline Li2PW at its relaxed geometry at the PBE level of DFT.

a = 3.2403 Å, b = 4.0738 Å, c = 8.7751 Å
α = 90.00°, β = 90.00°, γ = 90.00°
Last column: nearest neighbours and their distance in Å.
Space group Cmmm (No. 65)
Symmetry-distinct sites (fractional):
Li (0.0000, 0.0000, 0.2205) x4  4 P 2.52-2.81, 4 Li 2.60
P (0.0000, 0.5000, 0.0000) x2  8 Li 2.52-2.81, 4 P 2.60
W (0.0000, 0.5000, 0.5000) x2  4 W 2.60

Output
* total DFT energy (no corrections): -43.35 eV for the cell shown
* E_form: 129 meV per atom
* crystal system: orthorhombic


No. 8
Computed, not measured: crystalline Rb3TmS3 at its relaxed geometry at the PBE level of DFT.

a = 9.1168 Å, b = 14.1714 Å, c = 8.1762 Å
α = 90.00°, β = 100.50°, γ = 90.00°
Last column: nearest neighbours and their distance in Å.
Space group C2/m (No. 12)
Symmetry-distinct sites (fractional):
Rb (0.0000, 0.1843, 0.0000) x4  6 S 3.34-3.69
Rb (0.0000, 0.2519, 0.5000) x4  4 S 3.40-3.58
Rb (0.1196, 0.5000, 0.8628) x4  3 S 3.18-3.48, 1 Rb 3.40
Tm (0.1771, 0.0000, 0.6421) x4  4 S 2.52-2.62
S (0.0986, 0.0000, 0.3171) x4  2 Tm 2.60-2.62
S (0.1917, 0.3544, 0.2279) x8  1 Tm 2.52

Output
* total DFT energy (no corrections): -119.79 eV for the cell shown
* energy relative to the elements, uncorrected: -1.456 eV per atom
* crystal system: monoclinic


No. 9
Computed, not measured: crystalline NaAc2Au at its relaxed geometry at the PBE level of DFT.

a = 4.1729 Å, b = 4.1729 Å, c = 35.1573 Å
α = 90.00°, β = 90.00°, γ = 120.00°
Last column: nearest neighbours and their distance in Å.
Space group R-3m (No. 166, hexagonal axes)
Symmetry-distinct sites (fractional):
Na (0.0000, 0.0000, 0.0000) x3  2 Ac 3.85, 6 Na 4.17
Ac (0.0000, 0.0000, 0.1096) x6  3 Au 3.14
Au (0.0000, 0.0000, 0.5000) x3  6 Ac 3.14

Output
* offset from the most stable computed form: 0.56 eV per formula unit
* total DFT energy (no corrections): -40.31 eV for the cell shown
* E_form: -156 meV per atom
* crystal system: trigonal


No. 10
Computed, not measured: crystalline CsK2SrCl5 at its relaxed geometry at the PBE level of DFT.

a = 5.5479 Å, b = 7.8766 Å, c = 15.4085 Å
α = 90.00°, β = 90.00°, γ = 90.00°
Last column: nearest neighbours and their distance in Å.
Space group Immm (No. 71)
Symmetry-distinct sites (fractional):
Cs (0.0000, 0.0000, 0.0000) x2  10 Cl 3.94-4.01
K (0.0000, 0.5000, 0.2097) x4  3 Cl 3.09-3.23
Sr (0.0000, 0.0000, 0.5000) x2  6 Cl 2.77-2.87
Cl (0.0000, 0.2474, 0.3631) x8  1 Sr 2.87, 1 K 3.09
Cl (0.0000, 0.5000, 0.0000) x2  2 Sr 2.77

Output
* total DFT energy (no corrections): -65.79 eV for the cell shown
* energy relative to the elements, uncorrected: -2.104 eV per atom
* crystal system: orthorhombic


No. 11
Computed, not measured: crystalline Tb5Pm3Er4 at its relaxed geometry at the PBE level of DFT.

a = 6.1723 Å, b = 7.1273 Å, c = 8.7230 Å
α = 90.05°, β = 90.07°, γ = 90.14°
Last column: nearest neighbours and their distance in Å.
Space group P-1 (No. 2)
Symmetry-distinct sites (fractional):
Tb (0.0000, 0.0000, 0.0000) x1  4 Tb 3.56, 4 Pm 3.56, 4 Er 3.56-3.57
Tb (0.3346, 0.5001, 0.3338) x2  3 Tb 3.54-3.57, 5 Er 3.56-3.58, 4 Pm 3.56-3.57
Tb (0.4988, 0.7515, 0.9998) x2  6 Tb 3.54-3.59, 3 Er 3.56, 3 Pm 3.56-3.58
Pm (0.0000, 0.5000, 0.0000) x1  8 Tb 3.56-3.58, 2 Pm 3.57, 2 Er 3.57
Pm (0.1657, 0.2489, 0.6658) x2  6 Er 3.55-3.58, 5 Tb 3.56-3.58, 1 Pm 3.57
Er (0.1675, 0.7514, 0.6660) x2  3 Er 3.55-3.57, 4 Pm 3.55-3.58, 5 Tb 3.56-3.58
Er (0.3340, 0.0001, 0.3338) x2  4 Er 3.55-3.57, 3 Pm 3.55-3.57, 5 Tb 3.56-3.57

Output
* offset from the most stable computed form: 0.00 eV per formula unit
* total DFT energy (no corrections): -55.46 eV for the cell shown
* E_form: 16 meV per atom
* crystal system: triclinic


No. 12
Computed, not measured: crystalline Li4Er3Ga4 at its relaxed geometry at the PBE level of DFT.

a = 4.4928 Å, b = 6.6952 Å, c = 14.3785 Å
α = 90.00°, β = 90.00°, γ = 90.00°
Last column: nearest neighbours and their distance in Å.
Space group Immm (No. 71)
Symmetry-distinct sites (fractional):
Li (0.0000, 0.1904, 0.1727) x8  1 Li 2.55, 4 Ga 2.60-2.65
Er (0.0000, 0.0000, 0.3791) x4  6 Ga 3.12-3.26, 6 Li 3.15-3.23, 1 Er 3.48
Er (0.0000, 0.5000, 0.5000) x2  6 Ga 3.04-3.09
Ga (0.0000, 0.3060, 0.0000) x4  1 Ga 2.60, 2 Li 2.60
Ga (0.0000, 0.5000, 0.2854) x4  6 Li 2.63-2.65

Output
* total DFT energy (no corrections): -74.73 eV for the cell shown
* E_form: -356 meV per atom
* crystal system: orthorhombic


Please write out number 10 again, unchanged.
Computed, not measured: crystalline CsK2SrCl5 at its relaxed geometry at the PBE level of DFT.

a = 5.5479 Å, b = 7.8766 Å, c = 15.4085 Å
α = 90.00°, β = 90.00°, γ = 90.00°
Last column: nearest neighbours and their distance in Å.
Space group Immm (No. 71)
Symmetry-distinct sites (fractional):
Cs (0.0000, 0.0000, 0.0000) x2  10 Cl 3.94-4.01
K (0.0000, 0.5000, 0.2097) x4  3 Cl 3.09-3.23
Sr (0.0000, 0.0000, 0.5000) x2  6 Cl 2.77-2.87
Cl (0.0000, 0.2474, 0.3631) x8  1 Sr 2.87, 1 K 3.09
Cl (0.0000, 0.5000, 0.0000) x2  2 Sr 2.77

Output
* total DFT energy (no corrections): -65.79 eV for the cell shown
* energy relative to the elements, uncorrected: -2.104 eV per atom
* crystal system: orthorhombic


Question: Look up the total DFT energy (no corrections) of the ninth one.
Answer: -40.31 eV for the cell shown


Question: Which value of total DFT energy (no corrections) does entry 6 give?
Answer: -36.49 eV for the cell shown


Question: total DFT energy (no corrections) of number 6 (NdSiB)?
Answer: -36.49 eV for the cell shown